The following is a DFT calculation (PBE) of Ce5CdIn3 after structural relaxation.

Cell lengths 6.5768, 9.5402, 9.5400 Å; angles 120.00, 90.00, 90.00 degrees
With the nearest neighbours (Å) after each atom.
Sites, in units of the cell vectors:
Ce 0.0000 0.6667 0.3333  2 Ce 3.29, 6 In 3.49
Ce 0.5000 0.3333 0.6667  2 Ce 3.29, 6 In 3.49
Ce 0.0000 0.3333 0.6667  2 Ce 3.29, 6 In 3.49
Ce 0.5000 0.6667 0.3333  2 Ce 3.29, 6 In 3.49
Ce 0.7500 0.6930 0.6930  5 In 3.19-3.32, 2 Cd 3.36
Ce 0.7500 0.0000 0.3070  5 In 3.19-3.32, 2 Cd 3.36
Ce 0.7500 0.3071 0.0000  5 In 3.19-3.32, 2 Cd 3.36
Ce 0.2500 0.3070 0.3070  5 In 3.19-3.32, 2 Cd 3.36
Ce 0.2500 0.0000 0.6930  5 In 3.19-3.32, 2 Cd 3.36
Ce 0.2500 0.6929 0.0000  5 In 3.19-3.32, 2 Cd 3.36
Cd 0.0000 0.0000 0.0000  2 Cd 3.29, 6 Ce 3.36
Cd 0.5000 0.0000 0.0000  2 Cd 3.29, 6 Ce 3.36
In 0.7500 0.3566 0.3566  9 Ce 3.19-3.49
In 0.7500 0.0000 0.6434  9 Ce 3.19-3.49
In 0.7500 0.6434 0.0000  9 Ce 3.19-3.49
In 0.2500 0.6434 0.6434  9 Ce 3.19-3.49
In 0.2500 0.0000 0.3566  9 Ce 3.19-3.49
In 0.2500 0.3566 0.0000  9 Ce 3.19-3.49

Properties
Density of states at the Fermi level, states/eV/cell: 49.88
Size of the total moment, μB/atom: 0.66
Calculated density, Mg/m³: 7.4

---

The following is a DFT calculation (PBE) of MgBe2Mo after structural relaxation.

Cell lengths 4.8476, 4.8476, 4.8476 Å; angles 137.43, 137.43, 61.78 degrees
With the nearest neighbours (Å) after each atom.
Sites, in units of the cell vectors:
Be 0.0000 0.0000 0.0000  4 Mg 2.49, 4 Mo 2.72, 4 Be 2.72
Be 0.2500 0.7500 0.5000  4 Mo 2.49, 4 Be 2.72, 4 Mg 2.72
Mo 0.7500 0.2500 0.5000  8 Be 2.49-2.72, 4 Mg 2.72
Mg 0.5000 0.5000 0.0000  8 Be 2.49-2.72, 4 Mo 2.72

Properties
Density of states at the Fermi level, states/eV/cell: 1.88
Size of the total moment, μB/atom: 0.00
Calculated density, Mg/m³: 4.5

---

The following is a DFT calculation (PBE) of KY2Si after structural relaxation.

Cell lengths 7.1016, 7.1016, 7.1016 Å; angles 151.20, 128.97, 59.66 degrees
With the nearest neighbours (Å) after each atom.
Sites, in units of the cell vectors:
K 0.7500 0.2500 0.5000  4 Si 3.53, 2 K 3.53, 4 Y 3.79
Si 0.2500 0.7500 0.5000  4 Y 2.84
Y 0.0690 0.0690 0.0000  2 Si 2.84
Y 0.4310 0.4310 0.0000  2 Si 2.84

Properties
Density of states at the Fermi level, states/eV/cell: 5.44
Size of the total moment, μB/atom: 0.00
Calculated density, Mg/m³: 3.1

---

The following is a DFT calculation (PBE) of AsNCl3 after structural relaxation.

Cell lengths 4.4425, 4.4425, 4.4425 Å; angles 90.00, 90.00, 90.00 degrees
With the nearest neighbours (Å) after each atom.
Sites, in units of the cell vectors:
As 0.5000 0.5000 0.5000  12 Cl 3.14
N 0.0000 0.0000 0.0000  6 Cl 2.22
Cl 0.0000 0.5000 0.0000  2 N 2.22
Cl 0.0000 0.0000 0.5000  2 N 2.22
Cl 0.5000 0.0000 0.0000  2 N 2.22

Properties
Density of states at the Fermi level, states/eV/cell: 3.12
Size of the total moment, μB/atom: 0.00
Calculated density, Mg/m³: 3.7
Distance to the lowest polymorph of the same formula, eV/atom: 0.685

---

The following is a DFT calculation (PBE) of AcY4Mg after structural relaxation.

Cell lengths 3.7425, 3.7425, 14.0388 Å; angles 90.00, 90.00, 90.00 degrees
With the nearest neighbours (Å) after each atom.
Sites, in units of the cell vectors:
Ac 0.0000 0.0000 0.0000  4 Ac 3.74, 8 Y 3.75
Y 0.5000 0.5000 0.1892  8 Y 3.57-3.74, 4 Ac 3.75
Y 0.0000 0.0000 0.6398  4 Mg 3.29, 4 Y 3.57
Y 0.0000 0.0000 0.3602  4 Mg 3.29, 4 Y 3.57
Y 0.5000 0.5000 0.8108  8 Y 3.57-3.74, 4 Ac 3.75
Mg 0.5000 0.5000 0.5000  8 Y 3.29

Properties
Density of states at the Fermi level, states/eV/cell: 9.00
Size of the total moment, μB/atom: 0.00
Calculated density, Mg/m³: 5.1

---

The following is a DFT calculation (PBE) of Pr3IrSe2 after structural relaxation.

Cell lengths 7.2473, 7.4454, 7.4454 Å; angles 118.63, 99.83, 99.83 degrees
With the nearest neighbours (Å) after each atom.
Sites, in units of the cell vectors:
Pr 0.0015 0.1998 0.3501  2 Ir 2.89-2.92, 4 Se 3.04-3.18
Pr 0.5015 0.3501 0.1998  2 Ir 2.89-2.92, 4 Se 3.04-3.18
Pr 0.0000 0.5000 0.0000  2 Ir 2.98, 4 Se 3.03
Pr 0.9985 0.8002 0.6499  2 Ir 2.89-2.92, 4 Se 3.04-3.18
Pr 0.5000 0.0000 0.5000  2 Ir 2.98, 4 Se 3.03
Pr 0.4985 0.6499 0.8002  2 Ir 2.89-2.92, 4 Se 3.04-3.18
Ir 0.2500 0.5886 0.4114  6 Pr 2.89-2.98
Ir 0.7500 0.4114 0.5886  6 Pr 2.89-2.98
Se 0.2500 0.9175 0.0825  6 Pr 3.03-3.18
Se 0.2500 0.2439 0.7561  6 Pr 3.03-3.13
Se 0.7500 0.0825 0.9175  6 Pr 3.03-3.18
Se 0.7500 0.7561 0.2439  6 Pr 3.03-3.13

Properties
Density of states at the Fermi level, states/eV/cell: 10.76
Size of the total moment, μB/atom: 0.00
Calculated density, Mg/m³: 7.7
Distance to the lowest polymorph of the same formula, eV/atom: 0.016

---

The following is a DFT calculation (PBE) of CaMg2Ga after structural relaxation.

Cell lengths 4.3999, 4.3999, 11.4057 Å; angles 78.88, 78.88, 90.00 degrees
With the nearest neighbours (Å) after each atom.
Sites, in units of the cell vectors:
Ca 0.5000 0.5000 0.0000  4 Ga 3.11, 4 Mg 3.19
Ca 0.2500 0.7500 0.5000  4 Ga 3.11, 4 Mg 3.19
Mg 0.6490 0.1250 0.2500  4 Mg 2.97-3.26, 2 Ga 3.12, 2 Ca 3.19
Mg 0.1010 0.6250 0.2500  4 Mg 2.97-3.26, 2 Ga 3.12, 2 Ca 3.19
Mg 0.3750 0.3510 0.7500  4 Mg 2.97-3.26, 2 Ga 3.12, 2 Ca 3.19
Mg 0.8750 0.8990 0.7500  4 Mg 2.97-3.26, 2 Ga 3.12, 2 Ca 3.19
Ga 0.0000 0.0000 0.0000  4 Ca 3.11, 4 Mg 3.12
Ga 0.7500 0.2500 0.5000  4 Ca 3.11, 4 Mg 3.12

Properties
Density of states at the Fermi level, states/eV/cell: 5.72
Size of the total moment, μB/atom: 0.00
Calculated density, Mg/m³: 2.5

---

The following is a DFT calculation (PBE) of TmV6Ge6 after structural relaxation.

Cell lengths 5.2365, 6.7296, 6.7296 Å; angles 77.76, 67.10, 67.10 degrees
With the nearest neighbours (Å) after each atom.
Sites, in units of the cell vectors:
Tm 0.0000 0.0000 0.0000  8 Ge 2.88-3.02
V 0.0000 0.5000 0.0000  6 Ge 2.60-2.73, 4 V 2.62
V 0.5000 0.5000 0.0000  6 Ge 2.60-2.73, 4 V 2.62
V 0.0000 0.0000 0.5000  6 Ge 2.60-2.73, 4 V 2.62
V 0.5000 0.0000 0.5000  6 Ge 2.60-2.73, 4 V 2.62
V 0.5000 0.7463 0.2537  6 Ge 2.57-2.72, 4 V 2.62
V 0.5000 0.2537 0.7463  6 Ge 2.57-2.72, 4 V 2.62
Ge 0.3328 0.6672 0.6672  6 V 2.57-2.60
Ge 0.6672 0.3328 0.3328  6 V 2.57-2.60
Ge 0.0000 0.3410 0.6590  1 Ge 2.69, 6 V 2.72-2.73, 1 Tm 2.88
Ge 0.0000 0.6590 0.3410  1 Ge 2.69, 6 V 2.72-2.73, 1 Tm 2.88
Ge 0.3359 0.1641 0.1641  6 V 2.60-2.61
Ge 0.6641 0.8359 0.8359  6 V 2.60-2.61

Properties
Density of states at the Fermi level, states/eV/cell: 5.94
Size of the total moment, μB/atom: 0.00
Calculated density, Mg/m³: 7.5

---

The following is a DFT calculation (PBE) of CsNaAc2I8 after structural relaxation.

Cell lengths 8.4353, 8.4353, 9.7854 Å; angles 90.00, 90.00, 120.00 degrees
With the nearest neighbours (Å) after each atom.
Sites, in units of the cell vectors:
Cs 0.0000 0.0000 0.5000  6 I 4.37
Na 0.0000 0.0000 0.0000  6 I 3.22
Ac 0.6667 0.3333 0.0936  7 I 3.17-3.46
Ac 0.3333 0.6667 0.9064  7 I 3.17-3.46
I 0.9315 0.6373 0.8412  1 Na 3.22, 2 Ac 3.33-3.46
I 0.3627 0.2942 0.8412  1 Na 3.22, 2 Ac 3.33-3.46
I 0.7058 0.0685 0.8412  1 Na 3.22, 2 Ac 3.33-3.46
I 0.0685 0.3627 0.1588  1 Na 3.22, 2 Ac 3.33-3.46
I 0.6373 0.7058 0.1588  1 Na 3.22, 2 Ac 3.33-3.46
I 0.2942 0.9315 0.1588  1 Na 3.22, 2 Ac 3.33-3.46
I 0.6667 0.3333 0.4173  1 Ac 3.17
I 0.3333 0.6667 0.5827  1 Ac 3.17

Properties
Density of states at the Fermi level, states/eV/cell: 0.00
Size of the total moment, μB/atom: 0.00
Calculated density, Mg/m³: 4.5

---

The following is a DFT calculation (PBE) of Rb2SrHgI6 after structural relaxation.

Cell lengths 8.7863, 8.7852, 8.6897 Å; angles 59.62, 59.63, 60.01 degrees
With the nearest neighbours (Å) after each atom.
Sites, in units of the cell vectors:
Rb 0.5433 0.5434 0.3700  6 I 3.70-3.85
Rb 0.0450 0.0451 0.8648  6 I 3.67-3.96
Sr 0.8171 0.8171 0.5488  6 I 3.26-3.32
Hg 0.3170 0.3170 0.0492  6 I 3.05-3.11
I 0.5683 0.1644 0.2749  1 Hg 3.05, 1 Sr 3.32
I 0.1645 0.9924 0.2749  1 Hg 3.05, 1 Sr 3.32
I 0.9924 0.5681 0.2751  1 Hg 3.05, 1 Sr 3.32
I 0.4736 0.6482 0.7859  1 Hg 3.11, 1 Sr 3.26
I 0.6481 0.0922 0.7859  1 Hg 3.11, 1 Sr 3.26
I 0.0922 0.4738 0.7859  1 Hg 3.11, 1 Sr 3.26

Properties
Size of the total moment, μB/atom: 0.00
Calculated density, Mg/m³: 4.3

---

The following is a DFT calculation (PBE) of TiRu2O2 after structural relaxation.

Cell lengths 5.3720, 5.3720, 4.0875 Å; angles 90.00, 90.00, 90.00 degrees
With the nearest neighbours (Å) after each atom.
Sites, in units of the cell vectors:
Ru 0.1738 0.6738 0.5000  2 O 2.04
Ru 0.6738 0.8262 0.5000  2 O 2.04
Ru 0.8262 0.3262 0.5000  2 O 2.04
Ru 0.3262 0.1738 0.5000  2 O 2.04
O 0.1801 0.6801 0.0000  2 Ti 1.97, 2 Ru 2.04
O 0.6801 0.8199 0.0000  2 Ti 1.97, 2 Ru 2.04
O 0.8199 0.3199 0.0000  2 Ti 1.97, 2 Ru 2.04
O 0.3199 0.1801 0.0000  2 Ti 1.97, 2 Ru 2.04
Ti 0.0000 0.0000 0.0000  4 O 1.97
Ti 0.5000 0.5000 0.0000  4 O 1.97

Properties
Density of states at the Fermi level, states/eV/cell: 9.62
Size of the total moment, μB/atom: 0.00
Calculated density, Mg/m³: 7.9
Distance to the lowest polymorph of the same formula, eV/atom: 0.000

---

The following is a DFT calculation (PBE) of BaBeRh after structural relaxation.

Cell lengths 6.1192, 6.1192, 6.1192 Å; angles 149.46, 148.33, 44.57 degrees
With the nearest neighbours (Å) after each atom.
Sites, in units of the cell vectors:
Be 0.2669 0.2669 0.0000  4 Rh 2.35
Rh 0.7351 0.7351 0.0000  4 Be 2.35
Ba 0.9980 0.9980 0.0000  1 Rh 2.98, 1 Be 3.04, 2 Ba 3.22

Properties
Density of states at the Fermi level, states/eV/cell: 1.77
Size of the total moment, μB/atom: 0.00
Calculated density, Mg/m³: 6.8
Distance to the lowest polymorph of the same formula, eV/atom: 0.322

---

no.,electronic total energy (Ry per atom)
1,-0.33459
2,-0.33854
3,-0.35440
4,-0.18804
5,-0.38680
6,-0.47313
7,-0.14725
8,-0.52320
9,-0.24782
10,-0.18099
11,-0.62227
12,-0.32103